[1]
# LiVSn3 (GGA-PBE, optimized geometry)
# polymorph energy (0 for the lowest one) = 0.0 meV/atom
# energy of formation = 0.105 eV per atom
# energy = -22.51 eV for the cell shown
data_LiVSn3
_chemical_formula_sum 'Li1 V1 Sn3'
_symmetry_space_group_name_H-M 'P m -3 m'
_symmetry_Int_Tables_number 221
_symmetry_space_group_name_Hall '-P 4 2 3'
_cell_length_a 5.154
_cell_length_b 5.154
_cell_length_c 5.154
_cell_angle_alpha 90.00
_cell_angle_beta 90.00
_cell_angle_gamma 90.00
loop_
_atom_site_label
_atom_site_type_symbol
_atom_site_fract_x
_atom_site_fract_y
_atom_site_fract_z
_atom_site_occupancy
Li1 Li 0.000 0.000 0.000 1
V1 V 0.500 0.500 0.500 1
Sn1 Sn 0.000 0.500 0.500 1



[2]
# Li3VSn (GGA-PBE, optimized geometry)
# polymorph energy (0 for the lowest one) = 0.0 meV/atom
# energy of formation = 0.637 eV per atom
# energy = -15.68 eV for the cell shown
data_Li3VSn
_chemical_formula_sum 'Li3 V1 Sn1'
_symmetry_space_group_name_H-M 'P m -3 m'
_symmetry_Int_Tables_number 221
_symmetry_space_group_name_Hall '-P 4 2 3'
_cell_length_a 4.971
_cell_length_b 4.971
_cell_length_c 4.971
_cell_angle_alpha 90.00
_cell_angle_beta 90.00
_cell_angle_gamma 90.00
loop_
_atom_site_label
_atom_site_type_symbol
_atom_site_fract_x
_atom_site_fract_y
_atom_site_fract_z
_atom_site_occupancy
Li1 Li 0.000 0.000 0.500 1
V1 V 0.500 0.500 0.500 1
Sn1 Sn 0.000 0.000 0.000 1



[3]
# LiVSn (GGA-PBE, optimized geometry)
# energy of formation = 0.156 eV per atom
# energy = -116.54 eV for the cell shown
data_LiVSn
_chemical_formula_sum 'Li8 V8 Sn8'
_symmetry_space_group_name_H-M 'F m m m'
_symmetry_Int_Tables_number 69
_symmetry_space_group_name_Hall '-F 2 2'
_cell_length_a 4.437
_cell_length_b 9.113
_cell_length_c 11.128
_cell_angle_alpha 90.00
_cell_angle_beta 90.00
_cell_angle_gamma 90.00
loop_
_atom_site_label
_atom_site_type_symbol
_atom_site_fract_x
_atom_site_fract_y
_atom_site_fract_z
_atom_site_occupancy
Li1 Li 0.000 0.162 0.000 1
V1 V 0.250 0.250 0.250 1
Sn1 Sn 0.000 0.000 0.363 1



[4]
# LiYV2Sn (GGA-PBE, optimized geometry)
# energy of formation = 0.777 eV per atom
# energy = -26.73 eV for the cell shown
data_LiYV2Sn
_chemical_formula_sum 'Li1 Y1 V2 Sn1'
_symmetry_space_group_name_H-M 'P 4/m m m'
_symmetry_Int_Tables_number 123
_symmetry_space_group_name_Hall '-P 4 2'
_cell_length_a 4.533
_cell_length_b 4.533
_cell_length_c 4.746
_cell_angle_alpha 90.00
_cell_angle_beta 90.00
_cell_angle_gamma 90.00
loop_
_atom_site_label
_atom_site_type_symbol
_atom_site_fract_x
_atom_site_fract_y
_atom_site_fract_z
_atom_site_occupancy
Li1 Li 0.000 0.000 0.000 1
Y1 Y 0.000 0.000 0.500 1
V1 V 0.000 0.500 0.000 1
Sn1 Sn 0.500 0.500 0.500 1



[5]
# Li3SnW (GGA-PBE, optimized geometry)
# polymorph energy (0 for the lowest one) = 0.0 meV/atom
# energy of formation = 1.220 eV per atom
# energy = -16.60 eV for the cell shown
data_Li3SnW
_chemical_formula_sum 'Li3 Sn1 W1'
_symmetry_space_group_name_H-M 'P m -3 m'
_symmetry_Int_Tables_number 221
_symmetry_space_group_name_Hall '-P 4 2 3'
_cell_length_a 4.909
_cell_length_b 4.909
_cell_length_c 4.909
_cell_angle_alpha 90.00
_cell_angle_beta 90.00
_cell_angle_gamma 90.00
loop_
_atom_site_label
_atom_site_type_symbol
_atom_site_fract_x
_atom_site_fract_y
_atom_site_fract_z
_atom_site_occupancy
Li1 Li 0.000 0.000 0.500 1
Sn1 Sn 0.000 0.000 0.000 1
W1 W 0.500 0.500 0.500 1



[6]
# LiSnW2 (GGA-PBE, optimized geometry)
# energy of formation = 0.694 eV per atom
# energy = -116.19 eV for the cell shown
data_LiSnW2
_chemical_formula_sum 'Li4 Sn4 W8'
_symmetry_space_group_name_H-M 'I -4 2 d'
_symmetry_Int_Tables_number 122
_symmetry_space_group_name_Hall 'I -4 2bw'
_cell_length_a 3.767
_cell_length_b 3.767
_cell_length_c 20.125
_cell_angle_alpha 90.00
_cell_angle_beta 90.00
_cell_angle_gamma 90.00
loop_
_atom_site_label
_atom_site_type_symbol
_atom_site_fract_x
_atom_site_fract_y
_atom_site_fract_z
_atom_site_occupancy
Li1 Li 0.000 0.000 0.000 1
Sn1 Sn 0.000 0.000 0.500 1
W1 W 0.248 0.250 0.625 1



[7]
# Li3YSn (GGA-PBE, optimized geometry)
# polymorph energy (0 for the lowest one) = 903.0 meV/atom
# energy of formation = 0.969 eV per atom
# energy = -11.36 eV for the cell shown
data_Li3YSn
_chemical_formula_sum 'Li3 Y1 Sn1'
_symmetry_space_group_name_H-M 'P m -3 m'
_symmetry_Int_Tables_number 221
_symmetry_space_group_name_Hall '-P 4 2 3'
_cell_length_a 5.301
_cell_length_b 5.301
_cell_length_c 5.301
_cell_angle_alpha 90.00
_cell_angle_beta 90.00
_cell_angle_gamma 90.00
loop_
_atom_site_label
_atom_site_type_symbol
_atom_site_fract_x
_atom_site_fract_y
_atom_site_fract_z
_atom_site_occupancy
Li1 Li 0.000 0.000 0.500 1
Y1 Y 0.000 0.000 0.000 1
Sn1 Sn 0.500 0.500 0.500 1



[8]
# Li3YSn (GGA-PBE, optimized geometry)
# polymorph energy (0 for the lowest one) = 0.0 meV/atom
# energy of formation = 0.066 eV per atom
# energy = -15.88 eV for the cell shown
data_Li3YSn
_chemical_formula_sum 'Li3 Y1 Sn1'
_symmetry_space_group_name_H-M 'P m -3 m'
_symmetry_Int_Tables_number 221
_symmetry_space_group_name_Hall '-P 4 2 3'
_cell_length_a 4.922
_cell_length_b 4.922
_cell_length_c 4.922
_cell_angle_alpha 90.00
_cell_angle_beta 90.00
_cell_angle_gamma 90.00
loop_
_atom_site_label
_atom_site_type_symbol
_atom_site_fract_x
_atom_site_fract_y
_atom_site_fract_z
_atom_site_occupancy
Li1 Li 0.000 0.000 0.500 1
Y1 Y 0.500 0.500 0.500 1
Sn1 Sn 0.000 0.000 0.000 1



[9]
# Li6YSn6 (GGA-PBE, optimized geometry)
# polymorph energy (0 for the lowest one) = 8.9 meV/atom
# energy of formation = -0.367 eV per atom
# energy = -46.74 eV for the cell shown
data_Li6YSn6
_chemical_formula_sum 'Li6 Y1 Sn6'
_symmetry_space_group_name_H-M 'P 6/m m m'
_symmetry_Int_Tables_number 191
_symmetry_space_group_name_Hall '-P 6 2'
_cell_length_a 5.8041
_cell_length_b 5.8041
_cell_length_c 9.3154
_cell_angle_alpha 90.00
_cell_angle_beta 90.00
_cell_angle_gamma 120.00
loop_
_atom_site_label
_atom_site_type_symbol
_atom_site_fract_x
_atom_site_fract_y
_atom_site_fract_z
_atom_site_occupancy
Li1 Li 0.0000 0.5000 0.2461 1
Y1 Y 0.0000 0.0000 0.0000 1
Sn1 Sn 0.0000 0.0000 0.3465 1
Sn2 Sn 0.3333 0.6667 0.0000 1
Sn3 Sn 0.3333 0.6667 0.5000 1



[10]
# Li6YSn6 (GGA-PBE, optimized geometry)
# polymorph energy (0 for the lowest one) = 0.0 meV/atom
# energy of formation = -0.376 eV per atom
# energy = -93.71 eV for the cell shown
data_Li6YSn6
_chemical_formula_sum 'Li12 Y2 Sn12'
_symmetry_space_group_name_H-M 'I m m m'
_symmetry_Int_Tables_number 71
_symmetry_space_group_name_Hall '-I 2 2'
_cell_length_a 5.734
_cell_length_b 9.424
_cell_length_c 9.973
_cell_angle_alpha 90.00
_cell_angle_beta 90.00
_cell_angle_gamma 90.00
loop_
_atom_site_label
_atom_site_type_symbol
_atom_site_fract_x
_atom_site_fract_y
_atom_site_fract_z
_atom_site_occupancy
Li1 Li 0.000 0.249 0.000 1
Li2 Li 0.250 0.250 0.250 1
Y1 Y 0.000 0.000 0.500 1
Sn1 Sn 0.000 0.000 0.167 1
Sn2 Sn 0.000 0.346 0.500 1
Sn3 Sn 0.000 0.500 0.162 1



[11]
# LiY4Sn2 (GGA-PBE, optimized geometry)
# energy of formation = -0.144 eV per atom
# energy = -73.56 eV for the cell shown
data_LiY4Sn2
_chemical_formula_sum 'Li2 Y8 Sn4'
_symmetry_space_group_name_H-M 'I 4/m m m'
_symmetry_Int_Tables_number 139
_symmetry_space_group_name_Hall '-I 4 2'
_cell_length_a 4.918
_cell_length_b 4.918
_cell_length_c 16.542
_cell_angle_alpha 90.00
_cell_angle_beta 90.00
_cell_angle_gamma 90.00
loop_
_atom_site_label
_atom_site_type_symbol
_atom_site_fract_x
_atom_site_fract_y
_atom_site_fract_z
_atom_site_occupancy
Li1 Li 0.000 0.000 0.000 1
Y1 Y 0.000 0.000 0.179 1
Y2 Y 0.000 0.500 0.000 1
Sn1 Sn 0.000 0.000 0.366 1



[12]
# Li2YSn2 (GGA-PBE, optimized geometry)
# polymorph energy (0 for the lowest one) = 53.4 meV/atom
# energy of formation = -0.454 eV per atom
# energy = -41.14 eV for the cell shown
data_Li2YSn2
_chemical_formula_sum 'Li4 Y2 Sn4'
_symmetry_space_group_name_H-M 'P 4/m b m'
_symmetry_Int_Tables_number 127
_symmetry_space_group_name_Hall '-P 4 2ab'
_cell_length_a 8.195
_cell_length_b 8.195
_cell_length_c 3.220
_cell_angle_alpha 90.00
_cell_angle_beta 90.00
_cell_angle_gamma 90.00
loop_
_atom_site_label
_atom_site_type_symbol
_atom_site_fract_x
_atom_site_fract_y
_atom_site_fract_z
_atom_site_occupancy
Li1 Li 0.114 0.386 0.000 1
Y1 Y 0.000 0.000 0.000 1
Sn1 Sn 0.179 0.679 0.500 1